# Gd2Ho

Crystalline Gd2Ho at its relaxed geometry (GGA-PBE, OQMD).

Cell lengths 8.867, 8.867, 8.867 Å; angles 60.00, 60.00, 60.00 degrees
Fractional coordinates of all 6 atoms:
Gd 0.000 0.000 0.000
Gd 0.000 0.000 0.500
Gd 0.000 0.500 0.000
Gd 0.500 0.000 0.000
Ho 0.125 0.125 0.125
Ho 0.875 0.875 0.875

Results
Symmetry   Fd-3m (227)
ΔH_f (0 K)   2.5331 eV/atom

***

# KNbSi

Crystalline KNbSi at its relaxed geometry (GGA-PBE, OQMD).

Cell lengths 4.793, 4.793, 4.793 Å; angles 60.00, 60.00, 60.00 degrees
Fractional coordinates of all 3 atoms:
K 0.000 0.000 0.000
Nb 0.500 0.500 0.500
Si 0.250 0.250 0.250

Results
Symmetry   F-43m (216)

***

| no. | energy relative to the lowest polymorph listed for this composition (kJ per mole of atoms) | M_tot (μB/f.u.) | calculated total energy (eV per atom) |
| --- | --- | --- | --- |
| 1 | 219.3 | 0.01 | -2.095 |
| 2 | 0.0 | 2.00 | -4.414 |